Compound: Cs2Au2Br7
Source: the Alexandria database
Functional: PBE
Structure: optimized geometry

Cell and atoms, written as POSCAR:
```
Cs2Au2Br7
1.0
-1.9237 3.7832 3.4466
-7.4069 3.2511 -5.5670
-2.7981 -6.0477 7.2124
Br Au Cs
7 2 2
Cartesian
-10.2435 2.6000 2.3923
-8.8553 -0.2008 6.2414
-3.2733 1.1873 -1.1494
-4.7749 0.3253 1.9587
-7.3538 0.6613 3.1333
-1.8852 -1.6135 2.6997
0.0000 0.0000 0.0000
-2.4934 -0.0751 0.8446
-9.6353 1.0617 4.2474
-7.0084 2.3980 -0.0717
-5.1203 -1.4114 5.1637
```

D(E_F) in states/eV/cell: 1.3
Space group: C2/m
Total magnetization in μB per formula unit: 0.00
Uncorrected energy in eV/cell: -28.3
E_form (uncorrected) in eV per formula unit: -8.4


Compound: Cs8AuBr6
Source: the Alexandria database
Functional: PBE
Structure: optimized geometry

Cell and atoms, written as POSCAR:
```
Cs8AuBr6
1.0
5.4180 0.0000 0.0000
0.0000 11.3998 -6.5816
0.0000 0.0000 13.1633
Br Cs Au
6 8 1
Cartesian
4.0878 5.4348 1.4505
4.0878 9.9386 1.1497
4.0878 7.4261 -2.6003
1.3301 1.4612 5.4319
1.3301 3.9736 9.1819
1.3301 5.9650 5.1311
1.3627 7.5998 0.0000
4.0217 3.6835 -1.6485
1.3963 3.2694 2.3658
4.0217 10.9856 -2.5674
4.0553 3.7999 6.5816
1.3962 7.7162 8.2301
4.0217 8.1304 4.2159
1.3962 0.4141 9.1490
2.7090 0.0000 0.0000
```

D(E_F) in states/eV/cell: 3.6
Space group: P-3
Total magnetization in μB per formula unit: 0.00
Uncorrected energy in eV/cell: -40.8
E_form (uncorrected) in eV per formula unit: -20.6


Compound: Cs3Au2Br
Source: the Alexandria database
Functional: PBE
Structure: optimized geometry

Cell and atoms, written as POSCAR:
```
Cs3Au2Br
1.0
-1.3263 4.0882 0.7869
-3.9015 -1.5088 1.2625
4.3783 -0.9624 12.3800
Br Cs Au
1 3 2
Cartesian
-0.4248 0.8086 7.2147
2.9113 -0.6399 8.2320
0.0000 0.0000 0.0000
1.4670 -0.3225 4.1480
1.0438 0.4857 11.3673
-1.8934 1.1314 3.0620
```

Offset from the most stable computed form in eV/atom: 0.010
D(E_F) in states/eV/cell: 0.0
Space group: P4/mmm
Total magnetization in μB per formula unit: 0.00
Uncorrected energy in eV/cell: -15.6
E_form (uncorrected) in eV per formula unit: -4.8


Compound: CsAuBr2
Source: the Alexandria database
Functional: PBE
Structure: optimized geometry

Cell and atoms, written as POSCAR:
```
CsAuBr2
1.0
5.7954 0.0000 0.0007
0.0003 10.6740 0.2609
-2.8990 -3.5114 6.6030
Cs Br Au
2 4 2
Cartesian
-1.4160 2.4655 3.8615
1.4923 7.7996 4.0195
1.5166 0.5243 5.2225
-1.4357 5.8507 5.3607
4.4217 -0.9318 2.4079
1.4547 4.4165 2.5308
0.0388 4.2277 0.5736
0.0454 9.5524 0.7132
```

D(E_F) in states/eV/cell: 0.0
Space group: P1
Total magnetization in μB per formula unit: 0.00
Uncorrected energy in eV/cell: -22.7
E_form (uncorrected) in eV per formula unit: -3.9


Compound: Cs6AuBr
Source: the Alexandria database
Functional: PBE
Structure: optimized geometry

Cell and atoms, written as POSCAR:
```
Cs6AuBr
1.0
-7.8646 2.8535 3.7322
1.4357 -8.9417 -1.3814
7.0694 -1.3226 15.9079
Cs Au Br
12 2 2
Cartesian
-0.1987 -8.0488 1.8232
-0.5924 -4.3019 16.6610
4.0068 -3.0407 14.7220
-2.8525 -0.8614 13.1798
3.4930 -6.5494 5.0789
0.6312 -2.5812 6.6806
-1.1744 -7.3853 7.0836
0.0093 -4.8296 11.5781
1.8149 -0.0254 11.1751
1.2329 -3.1089 1.5977
-3.3663 -4.3701 3.5367
0.8392 0.6380 16.4355
0.5375 -2.0702 13.9586
0.1029 -5.3406 4.3001
3.5347 -0.6613 7.9539
0.0000 0.0000 0.0000
```

D(E_F) in states/eV/cell: 13.6
Space group: P-31c
Total magnetization in μB per formula unit: 0.01
Uncorrected energy in eV/cell: -28.2
E_form (uncorrected) in eV per formula unit: -4.0


Compound: Cs2AuBr6
Source: the Alexandria database
Functional: PBE
Structure: optimized geometry

Cell and atoms, written as POSCAR:
```
Cs2AuBr6
1.0
7.1248 0.6726 -2.8801
-3.0265 6.4850 -2.8801
-0.3851 -0.6726 7.6753
Br Au Cs
6 1 2
Cartesian
2.6506 4.6292 -3.7254
3.0054 5.2489 -0.1246
-0.8676 5.2489 -2.8801
1.4477 2.5285 -2.0348
0.7078 1.2362 2.0396
4.9659 1.9088 -2.8801
0.0000 0.0000 0.0000
-0.6813 4.6956 0.9575
4.3944 1.7894 0.9575
```

D(E_F) in states/eV/cell: 0.1
Space group: I4/mmm
Total magnetization in μB per formula unit: 1.00
Uncorrected energy in eV/cell: -22.7
E_form (uncorrected) in eV per formula unit: -7.7


Compound: Cs5Au2Br
Source: the Alexandria database
Functional: PBE
Structure: optimized geometry

Cell and atoms, written as POSCAR:
```
Cs5Au2Br
1.0
9.5993 0.0000 0.0000
0.0000 9.5993 0.0000
-4.7997 -4.7997 8.8702
Cs Au Br
10 4 2
Cartesian
1.6741 6.4738 2.4651
0.0000 0.0000 0.0000
3.1256 -1.6741 6.4051
-3.1256 1.6741 6.4051
3.1256 1.6741 2.4651
6.4738 7.9252 2.4651
1.6741 3.1256 6.4051
7.9252 3.1256 2.4651
4.7997 4.7997 0.0000
-1.6741 -3.1256 6.4051
8.5524 5.8466 0.0000
1.0469 3.7528 0.0000
5.8465 1.0469 0.0000
3.7528 8.5524 0.0000
4.7997 4.7997 4.4351
0.0000 0.0000 4.4351
```

Offset from the most stable computed form in eV/atom: 0.027
D(E_F) in states/eV/cell: 12.4
Space group: I4/mcm
Total magnetization in μB per formula unit: 0.00
Uncorrected energy in eV/cell: -33.9
E_form (uncorrected) in eV per formula unit: -4.5


Compound: Cs8AuBr3
Source: the Alexandria database
Functional: PBE
Structure: optimized geometry

Cell and atoms, written as POSCAR:
```
Cs8AuBr3
1.0
-10.4405 1.1572 0.7698
4.9043 -7.4057 5.5920
1.3553 10.4459 2.6792
Cs Br Au
8 3 1
Cartesian
2.6247 -4.6221 6.3758
0.1630 -0.9038 3.5686
0.8751 4.5230 5.0696
-1.5648 8.2386 2.2787
-2.6162 -4.0412 6.7623
-5.0560 -0.3257 3.9714
-4.3439 5.1012 5.4724
-6.8056 8.8194 2.6651
-2.7681 -3.1243 3.1809
-5.2203 0.5786 0.3849
2.4521 -3.7028 2.7960
0.0000 0.0000 0.0000
```

D(E_F) in states/eV/cell: 6.0
Space group: C2/m
Total magnetization in μB per formula unit: 0.00
Uncorrected energy in eV/cell: -26.2
E_form (uncorrected) in eV per formula unit: -11.0


Compound: Cs6Au4Br
Source: the Alexandria database
Functional: PBE
Structure: optimized geometry

Cell and atoms, written as POSCAR:
```
Cs6Au4Br
1.0
5.6904 0.0000 0.0000
0.0000 9.0503 -5.2252
0.0000 0.0000 10.4504
Cs Au Br
6 4 1
Cartesian
2.8452 6.4616 5.2253
2.8452 1.2945 8.2085
2.8452 1.2944 2.2420
0.0000 8.5313 0.0001
0.0000 4.7848 2.1631
0.0000 4.7848 -2.1630
2.8452 4.3312 0.0001
2.8452 6.8848 1.4745
2.8452 6.8849 -1.4743
0.0000 3.0168 5.2253
0.0000 0.0000 0.0001
```

D(E_F) in states/eV/cell: 5.7
Space group: P-6m2
Total magnetization in μB per formula unit: 0.00
Uncorrected energy in eV/cell: -25.5
E_form (uncorrected) in eV per formula unit: -5.6


Compound: CsAuBr3
Source: the Alexandria database
Functional: PBE
Structure: optimized geometry

Cell and atoms, written as POSCAR:
```
CsAuBr3
1.0
7.8706 -0.5978 2.2946
2.9745 7.3113 2.2946
0.1073 0.0664 14.0441
Br Cs Au
12 4 4
Cartesian
5.8080 6.0580 15.5358
4.2395 1.4538 7.1066
7.9586 2.4640 8.5138
9.1697 6.8215 16.2776
6.7129 5.3262 11.5267
0.8114 1.6474 9.3777
1.7827 -0.0416 2.3557
2.9938 4.3159 10.1195
5.1444 0.7220 3.0975
10.1410 5.1326 9.2556
7.7071 3.6003 4.5046
3.2453 3.1796 14.1287
6.0094 5.6915 7.8798
3.1248 3.9058 3.7314
7.8276 2.8742 14.9019
4.9430 1.0885 10.7535
4.8892 4.3982 12.8277
3.9353 -0.2989 1.1473
1.5409 3.6889 8.1693
6.0632 2.3817 5.8056
```

Space group: C2/c
Total magnetization in μB per formula unit: 0.00
Uncorrected energy in eV/cell: -53.7
E_form (uncorrected) in eV per formula unit: -4.3


Compound: Cs3AuBr6
Source: the Alexandria database
Functional: PBE
Structure: optimized geometry

Cell and atoms, written as POSCAR:
```
Cs3AuBr6
1.0
5.6411 0.0000 0.0000
0.0000 12.9682 -0.4983
0.0000 -3.3796 12.5300
Br Cs Au
12 6 2
Cartesian
4.0107 3.1591 4.0604
3.4157 10.6186 4.5294
3.4291 0.4940 9.4430
1.1901 6.4295 7.9713
0.6086 9.0947 2.5887
3.2707 11.7416 0.4792
0.5951 2.0456 11.3616
4.0107 6.3355 8.0462
3.4157 7.5430 0.6701
0.4501 -2.1530 11.5525
1.1901 3.2531 3.9855
0.5951 -1.0300 7.5023
3.2506 3.1432 0.4431
3.2506 9.8581 8.8688
0.4301 6.4454 11.5886
0.4301 -0.2695 3.1629
5.1274 6.5158 4.6439
2.3068 3.0728 7.3878
0.5828 0.3837 9.5309
3.4034 9.2049 2.5008
```

Offset from the most stable computed form in eV/atom: 0.058
D(E_F) in states/eV/cell: 2.0
Space group: Cmc2_1
Total magnetization in μB per formula unit: 0.00
Uncorrected energy in eV/cell: -53.8
E_form (uncorrected) in eV per formula unit: -11.0


Compound: Cs4Au3Br
Source: the Alexandria database
Functional: PBE
Structure: optimized geometry

Cell and atoms, written as POSCAR:
```
Cs4Au3Br
1.0
9.0557 0.0785 0.0000
-3.1006 8.5109 0.0000
0.0000 0.0000 10.4596
Br Au Cs
2 6 8
Cartesian
6.7918 0.0589 9.1505
2.2639 0.0196 1.3091
5.2415 4.3143 6.5451
5.2415 4.3143 1.3167
2.2639 0.0196 6.5519
0.7136 4.2751 9.1429
0.7136 4.2751 3.9145
6.7918 0.0589 3.9077
8.2613 2.2052 6.5450
3.7335 2.1659 3.9146
2.1864 6.4417 1.2834
2.2216 6.4235 6.5450
6.7142 6.4809 9.1762
-2.3062 6.3842 3.9146
3.7687 2.1477 9.1762
-0.7591 2.1085 1.2834
```

D(E_F) in states/eV/cell: 0.0
Space group: P2/c
Total magnetization in μB per formula unit: 0.00
Uncorrected energy in eV/cell: -40.8
E_form (uncorrected) in eV per formula unit: -5.5


Compound: Cs6Au2Br
Source: the Alexandria database
Functional: PBE
Structure: optimized geometry

Cell and atoms, written as POSCAR:
```
Cs6Au2Br
1.0
7.0836 0.0000 0.0000
-3.5418 8.6770 -1.1829
0.0000 -4.2858 10.8143
Cs Br Au
6 1 2
Cartesian
3.5418 4.8720 7.3462
3.5418 3.0012 0.5386
0.0000 4.3638 3.7839
0.0000 -0.4809 2.2853
3.5418 0.0274 5.8475
0.0000 1.3899 9.0929
0.0000 -2.1429 5.4071
3.5418 1.5921 9.0830
0.0000 2.7990 0.5484
```

D(E_F) in states/eV/cell: 5.5
Space group: C2/m
Total magnetization in μB per formula unit: 0.00
Uncorrected energy in eV/cell: -17.8
E_form (uncorrected) in eV per formula unit: -4.5


Compound: Cs6AuBr2
Source: the Alexandria database
Functional: PBE
Structure: optimized geometry

Cell and atoms, written as POSCAR:
```
Cs6AuBr2
1.0
-4.8003 1.2138 1.8367
-3.4288 1.6920 -10.0790
0.3572 -11.8982 1.2041
Cs Au Br
6 1 2
Cartesian
-7.0385 -9.2979 -4.6584
-4.4883 -6.1025 -7.6973
-5.0548 -2.1919 -4.1699
-2.8170 -6.8005 -2.8682
-3.3835 -2.8900 0.6592
-0.8333 0.3054 -2.3797
-2.4001 0.6069 0.9184
-6.0092 -5.7234 -4.3306
-1.8626 -3.2691 -2.7075
```

D(E_F) in states/eV/cell: 4.6
Space group: C2/m
Total magnetization in μB per formula unit: 0.00
Uncorrected energy in eV/cell: -19.4
E_form (uncorrected) in eV per formula unit: -7.6


Compound: Cs2Au2Br5
Source: the Alexandria database
Functional: PBE
Structure: optimized geometry

Cell and atoms, written as POSCAR:
```
Cs2Au2Br5
1.0
-3.2076 0.1964 6.8481
-3.4871 -6.7467 -1.4398
12.3537 -2.3144 1.6747
Br Au Cs
10 4 4
Cartesian
2.9374 -1.0247 7.6694
3.2426 -7.3488 5.4540
6.2417 -4.0524 3.4935
2.3528 -1.6389 1.6027
8.8838 -7.3803 2.2839
-5.0369 -4.9905 4.0509
-0.6462 -4.9353 3.5633
10.6275 -4.0070 3.0036
4.3992 -4.5944 0.1063
-3.2935 -1.6171 4.7710
-0.0344 -0.0665 -0.0142
4.4003 -2.8522 2.3279
-3.3817 -3.3416 2.6900
1.1950 -6.1360 4.7288
0.5925 -4.8459 0.1168
0.5021 -1.3603 4.7520
4.9983 -4.1507 6.9381
5.0887 -7.6364 2.3028
```

Offset from the most stable computed form in eV/atom: 0.006
D(E_F) in states/eV/cell: 11.5
Space group: Ima2
Total magnetization in μB per formula unit: 0.10
Uncorrected energy in eV/cell: -48.5
E_form (uncorrected) in eV per formula unit: -7.6


Compound: CsAuBr2
Source: the Alexandria database
Functional: PBE
Structure: optimized geometry

Cell and atoms, written as POSCAR:
```
CsAuBr2
1.0
0.0000 4.0004 4.0004
4.0004 0.0000 4.0004
4.0004 4.0004 0.0000
Au Br Cs
1 2 1
Cartesian
4.0004 4.0004 4.0004
6.0005 6.0005 6.0005
2.0002 2.0002 2.0002
0.0000 0.0000 0.0000
```

D(E_F) in states/eV/cell: 0.0
Space group: Fm-3m
Total magnetization in μB per formula unit: 0.00
Uncorrected energy in eV/cell: -9.4
E_form (uncorrected) in eV per formula unit: -1.9


Compound: CsAuBr3
Source: the Alexandria database
Functional: PBE
Structure: optimized geometry

Cell and atoms, written as POSCAR:
```
CsAuBr3
1.0
-6.6423 -0.0844 0.5281
-0.4364 -2.9487 -5.9600
0.3092 -5.9753 2.9336
Au Br Cs
1 3 1
Cartesian
-3.3848 -4.5042 -1.2491
-0.2182 -1.4743 -2.9800
-3.3212 -0.0422 0.2640
0.1546 -2.9877 1.4668
0.0000 0.0000 0.0000
```

D(E_F) in states/eV/cell: 12.3
Space group: Pm-3m
Total magnetization in μB per formula unit: 1.10
Uncorrected energy in eV/cell: -7.8
E_form (uncorrected) in eV per formula unit: 1.4


Compound: Cs8Au6Br
Source: the Alexandria database
Functional: PBE
Structure: optimized geometry

Cell and atoms, written as POSCAR:
```
Cs8Au6Br
1.0
-2.1837 2.3860 8.8917
-7.5710 -5.1530 2.3771
3.1535 -7.0152 5.5106
Au Cs Br
6 8 1
Cartesian
-5.7292 -2.5990 6.0849
-1.6978 -6.8285 5.2051
-0.8720 -7.1833 10.6946
-6.2471 -7.6791 8.2909
-4.9034 -2.9537 11.5744
-0.3541 -2.1032 8.4886
-2.6436 -9.0487 8.0100
-5.3690 -6.2848 4.9779
-3.9576 -0.7336 8.7695
-4.4343 -6.5711 11.2714
-2.1670 -3.2112 5.5081
0.8348 -5.5656 7.8379
-7.4360 -4.2166 8.9416
-1.2322 -3.4975 11.8016
0.0000 0.0000 0.0000
```

D(E_F) in states/eV/cell: 6.9
Space group: R-3
Total magnetization in μB per formula unit: 0.00
Uncorrected energy in eV/cell: -35.5
E_form (uncorrected) in eV per formula unit: -7.3


Compound: CsAuBr2
Source: the Alexandria database
Functional: PBE
Structure: optimized geometry

Cell and atoms, written as POSCAR:
```
CsAuBr2
1.0
3.4463 0.0000 7.5048
-1.7231 2.9845 7.5048
-1.7231 -2.9845 7.5048
Au Br Cs
1 2 1
Cartesian
0.0000 0.0000 0.0000
0.0000 0.0000 20.0933
0.0000 0.0000 2.4212
0.0000 0.0000 11.2573
```

D(E_F) in states/eV/cell: 0.0
Space group: R-3m
Total magnetization in μB per formula unit: 0.00
Uncorrected energy in eV/cell: -11.4
E_form (uncorrected) in eV per formula unit: -3.9


Compound: Cs2Au2Br5
Source: the Alexandria database
Functional: PBE
Structure: optimized geometry

Cell and atoms, written as POSCAR:
```
Cs2Au2Br5
1.0
4.9575 0.0000 0.0000
-2.4787 8.6015 0.4051
0.0000 0.6290 8.7940
Br Cs Au
5 2 2
Cartesian
0.0000 4.2886 7.5511
2.4788 7.4238 5.8658
0.0000 0.0000 0.0000
0.0000 1.8067 3.3333
2.4788 4.9419 1.6479
2.4788 1.8504 6.2459
0.0000 7.3801 2.9531
0.0000 2.6148 0.9974
2.4788 6.6157 8.2017
```

Offset from the most stable computed form in eV/atom: 0.000
D(E_F) in states/eV/cell: 5.0
Space group: C2/m
Total magnetization in μB per formula unit: 0.53
Uncorrected energy in eV/cell: -24.3
E_form (uncorrected) in eV per formula unit: -7.7